The following is a PBE calculation of a geometry-optimized K3Sm2DySe6 structure, from Alexandria.

Its formation energy from raw total energies is -1.7608 eV/atom. The value obtained for the energy is -4.95 eV/atom. The value obtained for the total moment is 0.0000 μB/atom.

The structure belongs to space group C2/m (No. 12); the cell edges are 7.396, 12.811 and 8.080 Å and the angles 90.00°, 107.77° and 90.00°. The inequivalent atoms are K at (0.000, 0.000, 0.000), K at (0.000, 0.332, 0.000), Sm at (0.000, 0.167, 0.500), Dy at (0.000, 0.500, 0.500), Se at (0.233, 0.336, 0.707) and Se at (0.241, 0.000, 0.708).